HfCr4Ga after structural relaxation. Source: the Alexandria database, functional PBE-GGA.

Geometry as CIF:
```
data_HfCr4Ga
_symmetry_space_group_name_H-M 'F -4 3 m'
_symmetry_Int_Tables_number 216
_symmetry_space_group_name_Hall 'F -4 2 3'
_cell_length_a 6.929
_cell_length_b 6.929
_cell_length_c 6.929
_cell_angle_alpha 90.00
_cell_angle_beta 90.00
_cell_angle_gamma 90.00
loop_
_atom_site_label
_atom_site_type_symbol
_atom_site_fract_x
_atom_site_fract_y
_atom_site_fract_z
Hf1 Hf 0.000 0.000 0.000
Cr1 Cr 0.124 0.124 0.376
Ga1 Ga 0.250 0.250 0.750
```

Density = 9.11 g/cm³
Energy of formation from the pure elements = 13 meV/atom

BaSi2PdI after structural relaxation. Source: the Alexandria database, functional PBE-GGA.

Geometry as CIF:
```
data_BaSi2PdI
_symmetry_space_group_name_H-M 'P 4/m m m'
_symmetry_Int_Tables_number 123
_symmetry_space_group_name_Hall '-P 4 2'
_cell_length_a 4.711
_cell_length_b 4.711
_cell_length_c 6.885
_cell_angle_alpha 90.00
_cell_angle_beta 90.00
_cell_angle_gamma 90.00
loop_
_atom_site_label
_atom_site_type_symbol
_atom_site_fract_x
_atom_site_fract_y
_atom_site_fract_z
Ba1 Ba 0.000 0.000 0.000
Si1 Si 0.000 0.500 0.500
Pd1 Pd 0.000 0.000 0.500
I1 I 0.500 0.500 0.000
```

Density = 4.64 g/cm³
Formation energy (no corrections) = -29.87 kJ per mole of atoms

TaVSn3 after structural relaxation. Source: the Alexandria database, functional PBE-GGA.

Geometry as CIF:
```
data_TaVSn3
_symmetry_space_group_name_H-M 'P m -3 m'
_symmetry_Int_Tables_number 221
_symmetry_space_group_name_Hall '-P 4 2 3'
_cell_length_a 5.349
_cell_length_b 5.349
_cell_length_c 5.349
_cell_angle_alpha 90.00
_cell_angle_beta 90.00
_cell_angle_gamma 90.00
loop_
_atom_site_label
_atom_site_type_symbol
_atom_site_fract_x
_atom_site_fract_y
_atom_site_fract_z
Ta1 Ta 0.000 0.000 0.000
V1 V 0.500 0.500 0.500
Sn1 Sn 0.000 0.000 0.500
```

Density = 6.38 g/cm³
Offset from the most stable computed form = 0.000 eV per atom
Energy of formation from the pure elements = 935 meV/atom

Er2SnHg after structural relaxation. Source: the Alexandria database, functional PBE-GGA.

Geometry as CIF:
```
data_Er2SnHg
_symmetry_space_group_name_H-M 'R -3 m'
_symmetry_Int_Tables_number 166
_symmetry_space_group_name_Hall '-R 3 2"'
_cell_length_a 3.7622
_cell_length_b 3.7622
_cell_length_c 27.0232
_cell_angle_alpha 90.00
_cell_angle_beta 90.00
_cell_angle_gamma 120.00
loop_
_atom_site_label
_atom_site_type_symbol
_atom_site_fract_x
_atom_site_fract_y
_atom_site_fract_z
Er1 Er 0.0000 0.0000 0.2504
Sn1 Sn 0.0000 0.0000 0.5000
Hg1 Hg 0.0000 0.0000 0.0000
```

Density = 9.83 g/cm³
Energy of formation from the pure elements = -420 meV/atom

Pr2DyTm after structural relaxation. Source: the Alexandria database, functional PBE-GGA.

Geometry as CIF:
```
data_Pr2DyTm
_symmetry_space_group_name_H-M 'C 1 2/c 1'
_symmetry_Int_Tables_number 15
_symmetry_space_group_name_Hall '-C 2yc'
_cell_length_a 12.398
_cell_length_b 7.249
_cell_length_c 6.282
_cell_angle_alpha 90.00
_cell_angle_beta 109.68
_cell_angle_gamma 90.00
loop_
_atom_site_label
_atom_site_type_symbol
_atom_site_fract_x
_atom_site_fract_y
_atom_site_fract_z
Pr1 Pr 0.250 0.125 0.249
Dy1 Dy 0.000 0.375 0.250
Tm1 Tm 0.000 0.125 0.750
```

Density = 7.66 g/cm³
Offset from the most stable computed form = 0.003 eV per atom
Energy of formation from the pure elements = 18 meV/atom

ScMo2I after structural relaxation. Source: the Alexandria database, functional PBE-GGA.

Geometry as CIF:
```
data_ScMo2I
_symmetry_space_group_name_H-M 'I -4 2 d'
_symmetry_Int_Tables_number 122
_symmetry_space_group_name_Hall 'I -4 2bw'
_cell_length_a 8.045
_cell_length_b 8.045
_cell_length_c 5.282
_cell_angle_alpha 90.00
_cell_angle_beta 90.00
_cell_angle_gamma 90.00
loop_
_atom_site_label
_atom_site_type_symbol
_atom_site_fract_x
_atom_site_fract_y
_atom_site_fract_z
Sc1 Sc 0.000 0.000 0.000
Mo1 Mo 0.211 0.250 0.625
I1 I 0.000 0.000 0.500
```

Density = 7.07 g/cm³
Formation energy (no corrections) = 106.05 kJ per mole of atoms
Offset from the most stable computed form = 0.346 eV per atom

TlAu4Se5 after structural relaxation. Source: the Alexandria database, functional PBE-GGA.

Geometry as CIF:
```
data_TlAu4Se5
_symmetry_space_group_name_H-M 'P 1 2/c 1'
_symmetry_Int_Tables_number 13
_symmetry_space_group_name_Hall '-P 2yc'
_cell_length_a 7.620
_cell_length_b 5.415
_cell_length_c 15.648
_cell_angle_alpha 90.00
_cell_angle_beta 119.09
_cell_angle_gamma 90.00
loop_
_atom_site_label
_atom_site_type_symbol
_atom_site_fract_x
_atom_site_fract_y
_atom_site_fract_z
Tl1 Tl 0.000 0.039 0.250
Au1 Au 0.249 0.483 0.499
Au2 Au 0.305 0.381 0.250
Se1 Se 0.095 0.331 0.602
Se2 Se 0.392 0.331 0.898
Se3 Se 0.500 0.009 0.250
```

Density = 8.16 g/cm³
Formation energy (no corrections) = -3.45 kJ per mole of atoms

FeIr4Rh after structural relaxation. Source: the Alexandria database, functional PBE-GGA.

Geometry as CIF:
```
data_FeIr4Rh
_symmetry_space_group_name_H-M 'F -4 3 m'
_symmetry_Int_Tables_number 216
_symmetry_space_group_name_Hall 'F -4 2 3'
_cell_length_a 7.240
_cell_length_b 7.240
_cell_length_c 7.240
_cell_angle_alpha 90.00
_cell_angle_beta 90.00
_cell_angle_gamma 90.00
loop_
_atom_site_label
_atom_site_type_symbol
_atom_site_fract_x
_atom_site_fract_y
_atom_site_fract_z
Fe1 Fe 0.000 0.000 0.000
Ir1 Ir 0.125 0.125 0.375
Rh1 Rh 0.250 0.250 0.750
```

Density = 16.24 g/cm³
Offset from the most stable computed form = 0.571 eV per atom
Energy of formation from the pure elements = 537 meV/atom

Question: density of number 4 (Er2SnHg)?
Answer: 9.83 g/cm³